No. 1
Material: Ac2PrCuSe5
Method: DFT, PBE
State: optimized geometry

## Properties
symmetry: Cmc2_1
energy: -99.50 eV per cell
raw formation energy: -163.3 kJ/mol of atoms

a b c (Å): 4.2615 9.2094 12.9452
angles (deg): 90.00 90.00 103.38
Fractional positions:
Ac: 0.8832 0.7664 0.8459
Ac: 0.1165 0.2331 0.6952
Ac: 0.1168 0.2336 0.3459
Ac: 0.8835 0.7669 0.1952
Pr: 0.8225 0.6450 0.5250
Pr: 0.1775 0.3550 0.0250
Cu: 0.5534 0.1069 0.9242
Cu: 0.4466 0.8931 0.4242
Se: 0.3452 0.6904 0.0199
Se: 0.6877 0.3754 0.8617
Se: 0.4949 0.9898 0.7533
Se: 0.3014 0.6027 0.6874
Se: 0.9836 0.9673 0.5113
Se: 0.6548 0.3096 0.5199
Se: 0.3123 0.6246 0.3617
Se: 0.5051 0.0102 0.2533
Se: 0.6986 0.3973 0.1874
Se: 0.0164 0.0327 0.0113

No. 2
Material: Ba12MgHg5
Method: DFT, PBE
State: optimized geometry

## Properties
symmetry: Immm
energy: -31.07 eV per cell

a b c (Å): 10.3234 10.3234 10.3234
angles (deg): 105.15 113.38 110.00
Fractional positions:
Ba: 0.5506 0.8260 0.7246
Ba: 0.4494 0.1740 0.2754
Ba: 0.8985 0.1740 0.7246
Ba: 0.1015 0.8260 0.2754
Ba: 0.6946 0.6639 0.3585
Ba: 0.3054 0.3361 0.6415
Ba: 0.3054 0.6639 0.9692
Ba: 0.6946 0.3361 0.0308
Ba: 0.8161 0.5790 0.7630
Ba: 0.1839 0.4210 0.2370
Ba: 0.1839 0.9469 0.7630
Ba: 0.8161 0.0531 0.2370
Mg: 0.0000 0.5000 0.5000
Hg: 0.6625 0.6625 0.0000
Hg: 0.3375 0.3375 0.0000
Hg: 0.5000 0.1270 0.6270
Hg: 0.5000 0.8730 0.3730
Hg: 0.0000 0.0000 0.0000

No. 3
Material: Tm8S6N
Method: DFT, PBE
State: optimized geometry

## Properties
symmetry: P-3
energy: -86.77 eV per cell
raw formation energy: -115.2 kJ/mol of atoms

a b c (Å): 3.9288 9.6306 9.6306
angles (deg): 120.00 90.00 90.00
Fractional positions:
Tm: 0.7354 0.9740 0.2751
Tm: 0.7354 0.7249 0.6989
Tm: 0.7354 0.3011 0.0260
Tm: 0.2646 0.0260 0.7249
Tm: 0.2646 0.2751 0.3011
Tm: 0.2646 0.6989 0.9740
Tm: 0.7445 0.3333 0.6667
Tm: 0.2555 0.6667 0.3333
S: 0.7569 0.6529 0.1297
S: 0.7569 0.8703 0.5232
S: 0.7569 0.4768 0.3471
S: 0.2431 0.3471 0.8703
S: 0.2431 0.1297 0.4768
S: 0.2431 0.5232 0.6529
N: 0.5000 0.0000 0.0000

No. 4
Material: TbPuNi
Method: DFT, PBE
State: optimized geometry

## Properties
symmetry: P3m1
energy: -24.61 eV per cell

a b c (Å): 3.7758 3.7758 6.2546
angles (deg): 90.00 90.00 120.00
Fractional positions:
Ni: 0.6667 0.3333 0.3338
Tb: 0.0000 0.0000 0.0753
Pu: 0.3333 0.6667 0.5909